LiNi3Hg | GGA-PBE | relaxed

Its total energy is -2.773 eV/atom. The density of states at the Fermi level is 13.78 states/eV/f.u. For the energy of formation, the calculation gives 1.138 eV/atom. The calculation puts the excess energy over the best structure of this formula in the dataset at 494 meV/atom.

It has space group Pm-3m (No. 221), with a = 4.8050 Å, b = 4.8050 Å, c = 4.8050 Å, α = 90.00°, β = 90.00° and γ = 90.00°. Symmetry generates all atoms from Li at (0.0000, 0.0000, 0.0000), Ni at (0.0000, 0.5000, 0.5000) and Hg at (0.5000, 0.5000, 0.5000).